1.
Here is an optimized crystal structure of Er2Ni15Pt2 from Alexandria. Energies are from PBE-GGA.

a b c (Å): 8.3871 8.3871 12.1779
angles (deg): 90.00 90.00 120.00
Space group R-3m (No. 166, hexagonal axes)
Unique sites:
Er  0.0000  0.0000  0.1563 [6 per cell]
Ni  0.0000  0.2977  0.5000 [18 per cell]
Ni  0.0000  0.5000  0.0000 [9 per cell]
Ni  0.0064  0.5032  0.6537 [18 per cell]
Pt  0.0000  0.0000  0.3908 [6 per cell]

Properties
DFT total energy = -0.2180 hartree per atom
Energy of formation = -252 meV per atom

=====

2.
Here is an optimized crystal structure of Np2Os2C3 from Alexandria. Energies are from PBE-GGA.

a b c (Å): 11.598 3.379 5.468
angles (deg): 90.00 113.73 90.00
Space group C2/m (No. 12)
Unique sites:
Np  0.102  0.000  0.301 [4 per cell]
Os  0.158  0.500  0.826 [4 per cell]
C  0.000  0.500  0.500 [2 per cell]
C  0.246  0.000  0.755 [4 per cell]

Properties
DFT total energy = -0.3954 hartree per atom
Energy of formation = 99 meV per atom

=====

3.
Here is an optimized crystal structure of Pr2CoH from Alexandria. Energies are from PBE-GGA.

a b c (Å): 3.8129 3.8129 20.6542
angles (deg): 90.00 90.00 120.00
Space group R3m (No. 160, hexagonal axes)
Unique sites:
Pr  0.0000  0.0000  0.0000 [3 per cell]
Pr  0.0000  0.0000  0.1737 [3 per cell]
Co  0.0000  0.0000  0.5864 [3 per cell]
H  0.0000  0.0000  0.4171 [3 per cell]

Properties
Energy above the lowest structure with this stoichiometry = 0.30 eV per formula unit
DFT total energy = -0.1859 hartree per atom

=====

4.
Here is an optimized crystal structure of MgTeSe2 from Alexandria. Energies are from PBE-GGA.

a b c (Å): 7.164 7.164 7.164
angles (deg): 90.00 90.00 90.00
Space group F-43m (No. 216)
Unique sites:
Mg  0.000  0.000  0.000 [4 per cell]
Te  0.250  0.250  0.250 [4 per cell]
Se  0.000  0.000  0.500 [4 per cell]
Se  0.250  0.250  0.750 [4 per cell]

Properties
Energy above the lowest structure with this stoichiometry = 2.41 eV per formula unit
ΔE_f (raw) = 120 meV/atom
DFT total energy = -0.1031 hartree per atom

=====

5.
Here is an optimized crystal structure of Ba2Ga5Rh from Alexandria. Energies are from PBE-GGA.

a b c (Å): 6.238 6.238 10.689
angles (deg): 90.00 90.00 90.00
Space group I4mm (No. 107)
Unique sites:
Ba  0.000  0.500  0.000 [4 per cell]
Ga  0.000  0.000  0.432 [2 per cell]
Ga  0.225  0.225  0.246 [8 per cell]
Rh  0.000  0.000  0.676 [2 per cell]

Properties
DFT total energy = -0.1344 hartree per atom
Energy of formation = -365 meV per atom

=====

6.
Here is an optimized crystal structure of TaCrPCl2 from Alexandria. Energies are from PBE-GGA.

a b c (Å): 4.469 4.469 5.130
angles (deg): 90.00 90.00 90.00
Space group P4/mmm (No. 123)
Unique sites:
Ta  0.000  0.000  0.000 [1 per cell]
Cr  0.500  0.500  0.500 [1 per cell]
P  0.500  0.500  0.000 [1 per cell]
Cl  0.000  0.500  0.500 [2 per cell]

Properties
Energy above the lowest structure with this stoichiometry = 2.36 eV per formula unit
ΔE_f (raw) = 604 meV/atom
DFT total energy = -0.2026 hartree per atom

=====

7.
Here is an optimized crystal structure of AcAg6Pb6 from Alexandria. Energies are from PBE-GGA.

a b c (Å): 5.928 10.430 10.598
angles (deg): 90.00 90.00 90.00
Space group Immm (No. 71)
Unique sites:
Ac  0.000  0.000  0.000 [2 per cell]
Ag  0.000  0.267  0.500 [4 per cell]
Ag  0.250  0.250  0.250 [8 per cell]
Pb  0.000  0.000  0.344 [4 per cell]
Pb  0.000  0.345  0.000 [4 per cell]
Pb  0.000  0.500  0.321 [4 per cell]

Properties
DFT total energy = -0.1253 hartree per atom
Energy of formation = -66 meV per atom

=====

8.
Here is an optimized crystal structure of K2PmSnSe4 from Alexandria. Energies are from PBE-GGA.

a b c (Å): 8.802 8.813 12.447
angles (deg): 90.00 90.00 90.00
Space group Imma (No. 74)
Unique sites:
K  0.000  0.000  0.000 [4 per cell]
K  0.250  0.250  0.250 [4 per cell]
Pm  0.000  0.000  0.500 [4 per cell]
Sn  0.250  0.250  0.750 [4 per cell]
Se  0.000  0.030  0.738 [8 per cell]
Se  0.227  0.250  0.515 [8 per cell]

Properties
ΔE_f (raw) = -1207 meV/atom
DFT total energy = -0.1587 hartree per atom